# 1
Here is a relaxed PaBe4Pd8 crystal from Alexandria via LeMat-Bulk. Energies are from PBE.

Symmetry = I4/mmm, No. 139

abc: 6.4900 6.4900 6.4900
angles: 99.09 99.09 133.17
Closest atoms and distances in Å follow each position.
Fractional coordinates of all 13 atoms:
Pa  0.0000  0.0000  0.0000  4 Pd 2.77
Be  0.0000  0.0000  0.5000  8 Pd 2.48-2.56, 2 Be 2.58
Be  0.0000  0.5000  0.0000  8 Pd 2.48-2.56, 2 Be 2.58
Be  0.5000  0.0000  0.0000  8 Pd 2.48-2.56, 2 Be 2.58
Be  0.5000  0.5000  0.5000  8 Pd 2.48-2.56, 2 Be 2.58
Pd  0.0000  0.3283  0.3283  4 Be 2.56, 4 Pd 2.72-2.73, 1 Pa 2.77
Pd  0.0000  0.6717  0.6717  4 Be 2.56, 4 Pd 2.72-2.73, 1 Pa 2.77
Pd  0.2748  0.5000  0.7748  4 Be 2.48, 6 Pd 2.68-2.73
Pd  0.3283  0.0000  0.3283  4 Be 2.56, 4 Pd 2.72-2.73, 1 Pa 2.77
Pd  0.5000  0.2748  0.7748  4 Be 2.48, 6 Pd 2.68-2.73
Pd  0.5000  0.7252  0.2252  4 Be 2.48, 6 Pd 2.68-2.73
Pd  0.6717  0.0000  0.6717  4 Be 2.56, 4 Pd 2.72-2.73, 1 Pa 2.77
Pd  0.7252  0.5000  0.2252  4 Be 2.48, 6 Pd 2.68-2.73

***

# 2
Here is a relaxed Pa2Be6Pd21 crystal from Alexandria via LeMat-Bulk. Energies are from PBE.

Symmetry = Fm-3m, No. 225

abc: 8.4155 8.4155 8.4155
angles: 60.00 60.00 60.00
Closest atoms and distances in Å follow each position.
Fractional coordinates of all 29 atoms:
Pa  0.2500  0.2500  0.2500  4 Pd 2.71
Pa  0.7500  0.7500  0.7500  4 Pd 2.71
Be  0.2308  0.2308  0.7692  8 Pd 2.34-2.40
Be  0.2308  0.7692  0.2308  8 Pd 2.34-2.40
Be  0.2308  0.7692  0.7692  8 Pd 2.34-2.40
Be  0.7692  0.2308  0.2308  8 Pd 2.34-2.40
Be  0.7692  0.2308  0.7692  8 Pd 2.34-2.40
Be  0.7692  0.7692  0.2308  8 Pd 2.34-2.40
Pd  0.1184  0.1184  0.1184  3 Be 2.40
Pd  0.1184  0.1184  0.6448  3 Be 2.40
Pd  0.1184  0.6448  0.1184  3 Be 2.40
Pd  0.1603  0.5000  0.5000  2 Be 2.34
Pd  0.1603  0.5000  0.8397  2 Be 2.34
Pd  0.1603  0.8397  0.5000  2 Be 2.34
Pd  0.3552  0.8816  0.8816  3 Be 2.40
Pd  0.5000  0.1603  0.5000  2 Be 2.34
Pd  0.5000  0.1603  0.8397  2 Be 2.34
Pd  0.5000  0.5000  0.1603  2 Be 2.34
Pd  0.5000  0.5000  0.5000  12 Pd 2.86
Pd  0.5000  0.5000  0.8397  2 Be 2.34
Pd  0.5000  0.8397  0.1603  2 Be 2.34
Pd  0.5000  0.8397  0.5000  2 Be 2.34
Pd  0.6448  0.1184  0.1184  3 Be 2.40
Pd  0.8397  0.1603  0.5000  2 Be 2.34
Pd  0.8397  0.5000  0.1603  2 Be 2.34
Pd  0.8397  0.5000  0.5000  2 Be 2.34
Pd  0.8816  0.3552  0.8816  3 Be 2.40
Pd  0.8816  0.8816  0.3552  3 Be 2.40
Pd  0.8816  0.8816  0.8816  3 Be 2.40

***

# 3
Here is a relaxed Pa2Be4Si3Pd crystal from Alexandria via LeMat-Bulk. Energies are from PBE.

Symmetry = P-4m2, No. 115

abc: 3.9302 3.9302 9.3913
angles: 90.00 90.00 90.00
Closest atoms and distances in Å follow each position.
Fractional coordinates of all 10 atoms:
Pa  0.0000  0.5000  0.2434  6 Si 2.98-3.11, 8 Be 3.01, 2 Pd 3.11
Pa  0.5000  0.0000  0.7566  6 Si 2.98-3.11, 8 Be 3.01, 2 Pd 3.11
Be  0.0000  0.0000  0.0000  4 Si 2.31
Be  0.0000  0.5000  0.6341  3 Si 2.22-2.33, 2 Pd 2.33
Be  0.5000  0.0000  0.3659  3 Si 2.22-2.33, 2 Pd 2.33
Be  0.5000  0.5000  0.0000  4 Si 2.31
Si  0.0000  0.5000  0.8706  5 Be 2.22-2.31
Si  0.5000  0.0000  0.1294  5 Be 2.22-2.31
Si  0.5000  0.5000  0.5000  4 Be 2.33
Pd  0.0000  0.0000  0.5000  4 Be 2.33

***

# 4
Here is a relaxed Pa2Be3Si4Pd crystal from Alexandria via LeMat-Bulk. Energies are from PBE.

Symmetry = P-4m2, No. 115

abc: 3.9937 3.9937 9.4808
angles: 90.00 90.00 90.00
Closest atoms and distances in Å follow each position.
Fractional coordinates of all 10 atoms:
Pa  0.0000  0.5000  0.2392  8 Si 3.02, 6 Be 3.04-3.18, 2 Pd 3.18
Pa  0.5000  0.0000  0.7608  8 Si 3.02, 6 Be 3.04-3.18, 2 Pd 3.18
Be  0.0000  0.5000  0.8809  5 Si 2.21-2.29
Be  0.5000  0.0000  0.1191  5 Si 2.21-2.29
Be  0.5000  0.5000  0.5000  4 Si 2.44
Si  0.0000  0.0000  0.0000  4 Be 2.29
Si  0.0000  0.5000  0.6477  3 Be 2.21-2.44, 2 Pd 2.44
Si  0.5000  0.0000  0.3523  3 Be 2.21-2.44, 2 Pd 2.44
Si  0.5000  0.5000  0.0000  4 Be 2.29
Pd  0.0000  0.0000  0.5000  4 Si 2.44

***

# 5
Here is a relaxed PmPaBe17 crystal from Alexandria via LeMat-Bulk. Energies are from PBE.

Symmetry = R3m, No. 160

abc: 5.8862 5.8862 5.8862
angles: 82.74 82.74 82.74
Closest atoms and distances in Å follow each position.
Fractional coordinates of all 19 atoms:
Pm  0.0000  0.0000  0.0000  19 Be 2.81-3.02
Pa  0.6788  0.6788  0.6788  19 Be 2.78-2.96
Be  0.0029  0.0029  0.4951  7 Be 2.24-2.39
Be  0.0029  0.4951  0.0029  7 Be 2.24-2.39
Be  0.0625  0.3401  0.6141  6 Be 2.13-2.27
Be  0.0625  0.6141  0.3401  6 Be 2.13-2.27
Be  0.1819  0.6745  0.6745  7 Be 2.22-2.37
Be  0.2464  0.2464  0.2464  10 Be 2.15-2.39
Be  0.3401  0.0625  0.6141  6 Be 2.13-2.27
Be  0.3401  0.6141  0.0625  6 Be 2.13-2.27
Be  0.3426  0.3426  0.8366  10 Be 2.20-2.42
Be  0.3426  0.8366  0.3426  10 Be 2.20-2.42
Be  0.4349  0.4349  0.4349  7 Be 2.15-2.37
Be  0.4951  0.0029  0.0029  7 Be 2.24-2.39
Be  0.6141  0.0625  0.3401  6 Be 2.13-2.27
Be  0.6141  0.3401  0.0625  6 Be 2.13-2.27
Be  0.6745  0.1819  0.6745  7 Be 2.22-2.37
Be  0.6745  0.6745  0.1819  7 Be 2.22-2.37
Be  0.8366  0.3426  0.3426  10 Be 2.20-2.42

***

# 6
Here is a relaxed PmPaBe crystal from Alexandria via LeMat-Bulk. Energies are from PBE.

Symmetry = Fddd, No. 70

abc: 11.1617 10.5473 5.4302
angles: 81.90 69.31 28.79
Closest atoms and distances in Å follow each position.
Fractional coordinates of all 12 atoms:
Pm  0.0504  0.6996  0.0504  4 Be 2.99-3.02, 3 Pm 3.16-3.25
Pm  0.3004  0.9496  0.3004  4 Be 2.99-3.02, 3 Pm 3.16-3.25
Pm  0.6996  0.0504  0.6996  4 Be 2.99-3.02, 3 Pm 3.16-3.25
Pm  0.9496  0.3004  0.9496  4 Be 2.99-3.02, 3 Pm 3.16-3.25
Pa  0.2886  0.2886  0.4614  4 Be 2.83-2.94, 2 Pa 3.13
Pa  0.4614  0.4614  0.2886  4 Be 2.83-2.94, 2 Pa 3.13
Pa  0.5386  0.5386  0.7114  4 Be 2.83-2.94, 2 Pa 3.13
Pa  0.7114  0.7114  0.5386  4 Be 2.83-2.94, 2 Pa 3.13
Be  0.0014  0.0014  0.2486  2 Be 2.72, 4 Pa 2.83-2.94, 4 Pm 2.99-3.02
Be  0.2486  0.2486  0.0014  2 Be 2.72, 4 Pa 2.83-2.94, 4 Pm 2.99-3.02
Be  0.7514  0.7514  0.9986  2 Be 2.72, 4 Pa 2.83-2.94, 4 Pm 2.99-3.02
Be  0.9986  0.9986  0.7514  2 Be 2.72, 4 Pa 2.83-2.94, 4 Pm 2.99-3.02

***

# 7
Here is a relaxed PmPaBeSi crystal from Alexandria via LeMat-Bulk. Energies are from PBE.

Symmetry = F-43m, No. 216

abc: 4.9321 4.9321 4.9321
angles: 60.00 60.00 60.00
Closest atoms and distances in Å follow each position.
Fractional coordinates of all 4 atoms:
Pm  0.0000  0.0000  0.0000  4 Si 3.02, 4 Be 3.02
Pa  0.5000  0.5000  0.5000  4 Be 3.02, 4 Si 3.02
Be  0.2500  0.2500  0.2500  4 Pa 3.02, 4 Pm 3.02
Si  0.7500  0.7500  0.7500  4 Pm 3.02, 4 Pa 3.02

***

# 8
Here is a relaxed PaBePt3 crystal from Alexandria via LeMat-Bulk. Energies are from PBE.

ΔE to the lowest computed polymorph = 0 meV per atom
Symmetry = I4mm, No. 107

abc: 6.0203 6.0203 6.0203
angles: 141.52 141.52 55.55
Closest atoms and distances in Å follow each position.
Fractional coordinates of all 5 atoms:
Pa  0.0000  0.0000  0.0000  8 Pt 2.95-3.16, 4 Be 3.10
Be  0.3768  0.3768  0.0000  5 Pt 2.21-2.29
Pt  0.2697  0.7697  0.5000  2 Be 2.29
Pt  0.5841  0.5841  0.0000  1 Be 2.21
Pt  0.7697  0.2697  0.5000  2 Be 2.29

***

Uncorrected energy, record by record: -5.606 -5.745 -5.936 -6.137 -4.169 -5.713 -5.807 -7.176 eV/atom